1.
A relaxed structure of HPd6Au2N, computed with PBE.

Calculated values
E = -4.899 eV/atom

abc: 8.213 8.238 8.271
angles: 90.00 90.00 90.00
Space group Fmmm (No. 69)
One atom of each set of equivalent atoms:
1 H 0.000 0.000 0.000 [4 per cell]
2 Pd 0.000 0.000 0.248 [8 per cell]
3 Pd 0.000 0.247 0.000 [8 per cell]
4 Pd 0.247 0.000 0.000 [8 per cell]
5 Au 0.250 0.250 0.250 [8 per cell]
6 N 0.000 0.000 0.500 [4 per cell]

2.
A relaxed structure of RbH6Au2N2, computed with PBE.

Calculated values
E = -4.303 eV/atom

abc: 5.268 6.795 6.972
angles: 65.39 68.26 72.50
Space group P-1 (No. 2)
One atom of each set of equivalent atoms:
1 Rb 0.000 0.000 0.000 [1 per cell]
2 H 0.287 0.428 0.315 [2 per cell]
3 H 0.335 0.642 0.343 [2 per cell]
4 H 0.452 0.451 0.854 [2 per cell]
5 Au 0.263 0.999 0.475 [2 per cell]
6 N 0.342 0.581 0.228 [2 per cell]

Number 1: M_tot 0.00 μB/f.u.. Number 2: M_tot 0.00 μB/f.u..